No. 1
Material: PaGaCo2H2
Method: DFT, PBE
State: optimized geometry

```
PaGaCo2H2
1.0
-3.784 2.635 2.378
0.783 -2.298 3.791
3.871 4.797 0.845
Pa Ga Co H
2 2 4 4
direct
0.750 0.262 0.639 Pa
0.250 0.738 0.361 Pa
0.250 0.290 0.914 Ga
0.750 0.710 0.086 Ga
0.510 0.190 0.221 Co
0.990 0.190 0.221 Co
0.010 0.810 0.779 Co
0.490 0.810 0.779 Co
0.250 0.243 0.387 H
0.250 0.575 0.691 H
0.750 0.757 0.613 H
0.750 0.425 0.309 H
```

Output
Final energy   -5.818 eV per atom
Total moment   0.0 μB per formula unit
Crystal system   monoclinic
SG   P2_1/m (11)
V   11.93 Å³ per atom



No. 2
Material: SrMoIr
Method: DFT, PBE
State: optimized geometry

```
SrMoIr
1.0
4.186 0.000 0.000
-2.093 3.625 0.000
0.000 0.000 5.083
Ir Mo Sr
1 1 1
direct
0.000 0.000 0.136 Ir
0.667 0.333 0.191 Mo
0.333 0.667 0.673 Sr
```

Output
Final energy   -6.898 eV per atom
Formation energy from the elements   226 meV per atom
Total moment   0.4 μB per formula unit
Crystal system   trigonal
SG   P3m1 (156)
V   25.70 Å³ per atom



No. 3
Material: PuHF
Method: DFT, PBE
State: optimized geometry

```
PuHF
1.0
-1.790 1.165 -2.434
-1.595 -2.813 -0.174
-0.884 2.129 3.823
H Pu F
1 1 1
direct
0.309 0.309 0.618 H
0.690 0.690 0.380 Pu
0.001 0.001 0.002 F
```

Output
Final energy   -8.031 eV per atom
Total moment   6.0 μB per formula unit
Crystal system   tetragonal
SG   I4mm (107)
V   13.40 Å³ per atom



No. 4
Material: Pr8Dy2Hg
Method: DFT, PBE
State: optimized geometry

```
Pr8Dy2Hg
1.0
-5.081 -0.257 2.538
-3.063 -3.535 -6.489
5.777 -5.877 4.600
Pr Dy Hg
8 2 1
direct
0.389 0.572 0.777 Pr
0.662 0.918 0.324 Pr
0.819 0.777 0.639 Pr
0.989 0.239 0.978 Pr
0.181 0.223 0.361 Pr
0.338 0.082 0.676 Pr
0.611 0.428 0.223 Pr
0.011 0.761 0.022 Pr
0.811 0.341 0.621 Dy
0.189 0.659 0.379 Dy
0.500 0.000 0.000 Hg
```

Output
Final energy   -4.332 eV per atom
Formation energy from the elements   8 meV per atom
Total moment   0.0 μB per formula unit
Crystal system   monoclinic
SG   C2/m (12)
V   34.54 Å³ per atom



No. 5
Material: Mg2CdRe
Method: DFT, PBE
State: optimized geometry

```
Mg2CdRe
1.0
3.929 0.000 0.000
0.000 4.257 0.000
0.000 0.000 4.257
Cd Mg Re
1 2 1
direct
0.500 0.000 0.500 Cd
0.000 0.000 0.000 Mg
0.000 0.500 0.500 Mg
0.500 0.500 0.000 Re
```

Output
Final energy   -3.755 eV per atom
Formation energy from the elements   383 meV per atom
Total moment   0.8 μB per formula unit
Crystal system   tetragonal
SG   P4/mmm (123)
V   17.80 Å³ per atom



No. 6
Material: InB3Ir
Method: DFT, PBE
State: optimized geometry

```
InB3Ir
1.0
4.292 0.000 0.000
0.000 4.292 0.000
0.000 0.000 4.292
B Ir In
3 1 1
direct
0.000 0.500 0.000 B
0.000 0.000 0.500 B
0.500 0.000 0.000 B
0.500 0.500 0.500 Ir
0.000 0.000 0.000 In
```

Output
Final energy   -3.589 eV per atom
Formation energy from the elements   2737 meV per atom
Total moment   0.0 μB per formula unit
Crystal system   cubic
SG   Pm-3m (221)
V   15.81 Å³ per atom